# MgZrIrAu

An optimized crystal structure of MgZrIrAu (PBE-GGA, Alexandria via LeMat-Bulk).

Cell: 6.5972 6.5972 6.5972 Å, 90.00 90.00 90.00°
Space group F-43m (No. 216)
Unique sites:
Mg  0.0000  0.0000  0.0000
Zr  0.0000  0.0000  0.5000
Ir  0.2500  0.2500  0.2500
Au  0.2500  0.2500  0.7500

energy of formation from the pure elements = -0.5859 eV/atom
mass density = 11.7 g/cm³

***

# MgZrIrAu2

An optimized crystal structure of MgZrIrAu2 (PBE-GGA, Alexandria via LeMat-Bulk).

Cell: 5.1705 5.1705 4.7823 Å, 90.00 90.00 90.00°
Space group P4/mmm (No. 123)
Unique sites:
Mg  0.0000  0.0000  0.0000
Zr  0.5000  0.5000  0.0000
Ir  0.5000  0.5000  0.5000
Au  0.0000  0.5000  0.5000

energy of formation from the pure elements = 0.3687 eV/atom
E above lowest polymorph = 0.000 eV per formula unit
mass density = 9.1 g/cm³

***

# MnIrAu2

An optimized crystal structure of MnIrAu2 (PBE-GGA, Alexandria via LeMat-Bulk).

Cell: 2.9963 4.6966 9.2759 Å, 90.00 90.00 90.00°
Space group Imm2 (No. 44)
Unique sites:
Mn  0.0000  0.0000  0.0000
Ir  0.0000  0.5000  0.2787
Au  0.0000  0.0000  0.5164
Au  0.0000  0.5000  0.7497

energy of formation from the pure elements = 0.1581 eV/atom
mass density = 16.3 g/cm³

***

Values for raw total energy, eV/atom, ordered as above
-6.156, -4.743, -5.988